(1)
A plane-wave DFT calculation with PBE was carried out for LaZrBr2 after structural relaxation.

Cell lengths 6.0980, 6.0980, 3.5854 Å; angles 71.70, 71.70, 107.44 degrees
Sites, in units of the cell vectors:
1 Br 0.0000 0.0000 0.0000
2 Br 0.5000 0.5000 0.0000
3 Zr 0.0000 0.5000 0.5000
4 La 0.5000 0.0000 0.5000

## Properties
Distance to the lowest polymorph of the same formula: 292 meV per atom

***

(2)
A plane-wave DFT calculation with PBE was carried out for BaTi2IrO8 after structural relaxation.

Cell lengths 5.1367, 5.1391, 7.1296 Å; angles 78.70, 78.70, 75.09 degrees
Each line ends with the local moment (μB).
Sites, in units of the cell vectors:
1 Ba 0.0000 0.0000 0.5000  0.00
2 Ti 0.4567 0.4565 0.7177  0.02
3 Ti 0.5433 0.5435 0.2823  0.02
4 Ir 0.0000 0.0000 0.0000  0.38
5 O 0.2399 0.7721 0.1901  0.00
6 O 0.7674 0.7702 0.0826  0.16
7 O 0.7738 0.2415 0.1896  0.00
8 O 0.7601 0.2279 0.8099  0.00
9 O 0.2326 0.2298 0.9174  0.16
10 O 0.2262 0.7585 0.8104  0.00
11 O 0.6528 0.6541 0.4873  0.01
12 O 0.3472 0.3459 0.5127  0.01

***

Number 1: E -4.858 eV per atom, ΔE_f (raw) -0.653 eV per atom, M_tot 0.00 μB per cell. Number 2: E -7.640 eV per atom, ΔE_f (raw) -2.120 eV per atom, M_tot 0.88 μB per cell.